Record 1
VASP calculation (GGA-PBE) on crystalline FeTeOs2I at its relaxed geometry.

abc: 4.939 4.939 4.630
angles: 90.00 90.00 90.00
Element x y z (fractional)
1 Fe 0.000 0.000 0.000
2 Te 0.500 0.500 0.000
3 Os 0.000 0.500 0.500
4 Os 0.500 0.000 0.500
5 I 0.000 0.000 0.500

Properties
E above lowest polymorph: 486 meV/atom
Volume: 113.0 Å³/cell
E_form (uncorrected): 214.6 kJ per mole of atoms
Calculated density: 10.155 g/cm³


Record 2
VASP calculation (GGA-PBE) on crystalline CsTlHgS at its relaxed geometry.

abc: 5.753 5.753 5.753
angles: 60.00 60.00 60.00
Element x y z (fractional)
1 Cs 0.000 0.000 0.000
2 Tl 0.500 0.500 0.500
3 Hg 0.750 0.750 0.750
4 S 0.250 0.250 0.250

Properties
Volume: 134.7 Å³/cell
E_form (uncorrected): -36.2 kJ per mole of atoms
Calculated density: 7.028 g/cm³


Record 3
VASP calculation (GGA-PBE) on crystalline RbInCl3 at its relaxed geometry.

abc: 4.771 4.771 8.112
angles: 90.00 90.00 90.00
Element x y z (fractional)
1 Rb 0.000 0.000 0.000
2 In 0.500 0.500 0.435
3 Cl 0.000 0.000 0.618
4 Cl 0.000 0.500 0.265
5 Cl 0.500 0.000 0.265

Properties
Volume: 184.6 Å³/cell
E_form (uncorrected): -101.0 kJ per mole of atoms
Calculated density: 2.758 g/cm³


Record 4
VASP calculation (GGA-PBE) on crystalline BSbIO2 at its relaxed geometry.

abc: 3.925 3.925 6.397
angles: 90.00 90.00 90.00
Element x y z (fractional)
1 B 0.000 0.000 0.000
2 Sb 0.500 0.500 0.000
3 I 0.500 0.500 0.500
4 O 0.000 0.500 0.500
5 O 0.500 0.000 0.500

Properties
E above lowest polymorph: 475 meV/atom
Volume: 98.5 Å³/cell
E_form (uncorrected): 76.2 kJ per mole of atoms
Calculated density: 4.913 g/cm³


Record 5
VASP calculation (GGA-PBE) on crystalline MnCoH4 at its relaxed geometry.

abc: 5.018 5.018 5.018
angles: 132.11 132.11 70.06
Element x y z (fractional)
1 Mn 0.375 0.625 0.750
2 Mn 0.625 0.375 0.250
3 Co 0.125 0.875 0.250
4 Co 0.875 0.125 0.750
5 H 0.000 0.239 0.239
6 H 0.000 0.761 0.761
7 H 0.239 0.000 0.739
8 H 0.239 0.500 0.239
9 H 0.500 0.239 0.739
10 H 0.500 0.761 0.261
11 H 0.761 0.000 0.261
12 H 0.761 0.500 0.761

Properties
E above lowest polymorph: 9 meV/atom
Volume: 68.2 Å³/cell
Calculated density: 5.742 g/cm³


Record 6
VASP calculation (GGA-PBE) on crystalline YNiS3 at its relaxed geometry.

abc: 5.187 5.187 5.187
angles: 90.00 90.00 90.00
Element x y z (fractional)
1 Y 0.000 0.000 0.000
2 Ni 0.500 0.500 0.500
3 S 0.000 0.000 0.500
4 S 0.000 0.500 0.000
5 S 0.500 0.000 0.000

Properties
E above lowest polymorph: 968 meV/atom
Volume: 139.5 Å³/cell
E_form (uncorrected): 19.7 kJ per mole of atoms
Calculated density: 2.902 g/cm³


Record 7
VASP calculation (GGA-PBE) on crystalline ErZr2Mn at its relaxed geometry.

abc: 3.229 3.229 8.268
angles: 90.00 90.00 90.00
Element x y z (fractional)
1 Er 0.000 0.000 0.000
2 Zr 0.500 0.500 0.316
3 Zr 0.500 0.500 0.684
4 Mn 0.000 0.000 0.500

Properties
E above lowest polymorph: 0 meV/atom
Volume: 86.2 Å³/cell
Calculated density: 7.792 g/cm³


Record 8
VASP calculation (GGA-PBE) on crystalline Ag5GeSe4I2 at its relaxed geometry.

abc: 8.102 6.874 6.874
angles: 120.44 90.00 90.00
Element x y z (fractional)
1 Ag 0.000 0.000 0.000
2 Ag 0.318 0.406 0.675
3 Ag 0.318 0.675 0.406
4 Ag 0.682 0.406 0.675
5 Ag 0.682 0.675 0.406
6 Ge 0.500 0.048 0.048
7 Se 0.256 0.247 0.247
8 Se 0.500 0.029 0.686
9 Se 0.500 0.686 0.029
10 Se 0.744 0.247 0.247
11 I 0.000 0.538 0.884
12 I 0.000 0.884 0.538

Properties
Volume: 330.0 Å³/cell
E_form (uncorrected): -15.0 kJ per mole of atoms
Calculated density: 5.946 g/cm³


Record 9
VASP calculation (GGA-PBE) on crystalline La5PmGa6 at its relaxed geometry.

abc: 9.200 9.200 9.200
angles: 146.48 131.77 60.01
Element x y z (fractional)
1 La 0.000 0.000 0.000
2 La 0.164 0.664 0.500
3 La 0.327 0.327 0.000
4 La 0.673 0.673 0.000
5 La 0.836 0.336 0.500
6 Pm 0.500 0.000 0.500
7 Ga 0.094 0.837 0.257
8 Ga 0.264 0.500 0.764
9 Ga 0.421 0.163 0.257
10 Ga 0.579 0.837 0.743
11 Ga 0.736 0.500 0.236
12 Ga 0.906 0.163 0.743

Properties
E: -4.5287 eV/atom
Volume: 317.8 Å³/cell
Calculated density: 6.572 g/cm³


Record 10
VASP calculation (GGA-PBE) on crystalline Ce2Nd2AlSi4 at its relaxed geometry.

abc: 6.562 6.562 6.562
angles: 114.82 114.82 99.23
Element x y z (fractional)
1 Ce 0.169 0.169 0.000
2 Ce 0.831 0.831 0.000
3 Nd 0.250 0.750 0.500
4 Nd 0.750 0.250 0.500
5 Al 0.500 0.500 0.000
6 Si 0.256 0.256 0.512
7 Si 0.256 0.744 0.000
8 Si 0.744 0.256 0.000
9 Si 0.744 0.744 0.488

Properties
Volume: 212.5 Å³/cell
E_form (uncorrected): -16.7 kJ per mole of atoms
Calculated density: 5.533 g/cm³


Record 11
VASP calculation (GGA-PBE) on crystalline YSb at its relaxed geometry.

abc: 5.367 5.367 5.367
angles: 60.00 60.00 60.00
Element x y z (fractional)
1 Y 0.125 0.125 0.125
2 Y 0.875 0.875 0.875
3 Sb 0.375 0.375 0.375
4 Sb 0.625 0.625 0.625

Properties
Volume: 109.3 Å³/cell
E_form (uncorrected): -29.7 kJ per mole of atoms
Calculated density: 6.402 g/cm³


Record 12
VASP calculation (GGA-PBE) on crystalline Ho2Fe17C2 at its relaxed geometry.

abc: 6.442 6.442 6.482
angles: 96.45 96.45 83.17
Element x y z (fractional)
1 Ho 0.154 0.154 0.336
2 Ho 0.846 0.846 0.664
3 Fe 0.000 0.500 0.000
4 Fe 0.154 0.154 0.855
5 Fe 0.156 0.648 0.342
6 Fe 0.213 0.787 0.000
7 Fe 0.215 0.499 0.715
8 Fe 0.352 0.844 0.658
9 Fe 0.403 0.403 0.096
10 Fe 0.499 0.215 0.715
11 Fe 0.500 0.000 0.000
12 Fe 0.500 0.500 0.500
13 Fe 0.501 0.785 0.285
14 Fe 0.597 0.597 0.904
15 Fe 0.648 0.156 0.342
16 Fe 0.785 0.501 0.285
17 Fe 0.787 0.213 0.000
18 Fe 0.844 0.352 0.658
19 Fe 0.846 0.846 0.145
20 C 0.000 0.500 0.500
21 C 0.500 0.000 0.500

Properties
E: -8.2320 eV/atom
Volume: 264.1 Å³/cell
Calculated density: 8.194 g/cm³


volume of number 7 (ErZr2Mn)? 86.2 Å³/cell


Look up the volume of the fourth one. 98.5 Å³/cell


Among the records above, which one has the lowest calculated density? RbInCl3